A geometry-optimized Sc3BiC structure. Source: Alexandria, functional GGA-PBE.

Symmetry = P2_1/c
Crystal system = monoclinic

Cell: 25.512 5.984 9.753 Å, 90.00 163.79 90.00°
Positions (direct):
Sc  0.304  0.917  0.958
Sc  0.408  0.844  0.560
Sc  0.862  0.072  0.755
Sc  0.138  0.928  0.245
Sc  0.908  0.656  0.060
Sc  0.696  0.083  0.042
Sc  0.362  0.428  0.255
Sc  0.092  0.344  0.940
Sc  0.196  0.417  0.542
Sc  0.592  0.156  0.440
Sc  0.638  0.572  0.745
Sc  0.804  0.583  0.458
Bi  0.515  0.318  0.911
Bi  0.485  0.682  0.089
Bi  0.985  0.818  0.589
Bi  0.015  0.182  0.411
C  0.474  0.249  0.346
C  0.026  0.749  0.154
C  0.974  0.251  0.846
C  0.526  0.751  0.654


A geometry-optimized Mn2IrRu structure. Source: Alexandria, functional GGA-PBE.

Symmetry = I4/mmm
Crystal system = tetragonal

Cell: 4.511 4.511 4.511 Å, 130.99 130.99 71.84°
Positions (direct):
Mn  0.000  0.000  0.000
Mn  0.500  0.500  0.000
Ru  0.250  0.750  0.500
Ir  0.750  0.250  0.500


A geometry-optimized TaCuRe structure. Source: Alexandria, functional GGA-PBE.

Symmetry = Fmm2
Crystal system = orthorhombic

Cell: 6.777 6.634 2.710 Å, 81.32 75.40 23.28°
Positions (direct):
Re  0.338  0.338  0.662
Cu  0.998  0.998  0.002
Ta  0.664  0.664  0.336


Number 1: E_tot -6.922 eV/atom, ΔH_f (0 K) -11.58 kcal/mol of atoms. Number 2: E_tot -9.151 eV/atom, ΔH_f (0 K) -0.75 kcal/mol of atoms. Number 3: E_tot -9.323 eV/atom, ΔH_f (0 K) 3.29 kcal/mol of atoms.